## AcLaMoO6 (PBE with a Hubbard U)

Data for a geometry-optimized AcLaMoO6 structure.

The structure in extended XYZ format:
```
9
Lattice="5.799 0.000 0.000 -2.899 5.022 0.000 0.000 0.000 5.130" Properties=species:S:1:pos:R:3 pbc="T T T"
Ac 0.000 0.000 0.000
La 0.000 3.348 2.565
Mo 2.899 1.674 2.565
O 2.078 0.272 3.664
O 1.274 1.663 1.466
O 3.721 0.272 1.466
O 2.096 3.087 3.664
O 4.525 1.663 3.664
O 3.703 3.087 1.466
```

Results
SG: No. 149
raw total energy: -7.7441 eV per atom



## Ac2LaMoO6 (PBE with a Hubbard U)

Data for a geometry-optimized Ac2LaMoO6 structure.

The structure in extended XYZ format:
```
20
Lattice="6.033 0.000 0.000 0.000 6.254 0.000 -5.926 0.000 8.693" Properties=species:S:1:pos:R:3 pbc="T T T"
Ac -0.075 0.323 2.182
Ac -3.038 2.804 6.528
Ac 3.144 3.450 2.165
Ac 0.181 5.930 6.511
La 3.016 0.000 0.000
La 0.053 3.127 4.347
Mo -2.963 0.000 4.347
Mo 0.000 3.127 0.000
O -4.821 1.314 8.110
O -1.858 1.813 3.764
O -4.180 4.315 8.157
O -1.217 5.066 3.811
O -2.208 0.342 6.398
O 0.755 2.785 2.051
O -0.649 3.469 6.642
O 2.314 5.912 2.295
O 1.323 1.188 4.883
O 4.286 1.939 0.536
O 1.964 4.441 4.930
O 4.927 4.940 0.583
```

Results
SG: No. 14
raw total energy: -7.9247 eV per atom



## AcLa2MoO8 (PBE with a Hubbard U)

Data for a geometry-optimized AcLa2MoO8 structure.

The structure in extended XYZ format:
```
12
Lattice="4.608 0.000 0.000 -0.104 5.550 0.000 -0.216 -0.364 7.323" Properties=species:S:1:pos:R:3 pbc="T T T"
Ac 0.000 0.000 0.000
La 1.913 2.341 5.471
La 2.374 2.845 1.852
Mo -0.108 -0.182 3.662
O 0.176 4.091 2.175
O 0.285 4.113 5.050
O 1.597 0.748 3.522
O 2.013 1.438 0.021
O 2.274 3.748 7.303
O 2.690 4.438 3.801
O 4.002 1.073 2.273
O 4.111 1.095 5.148
```

Results
SG: No. 2
raw total energy: -7.6536 eV per atom



Number 1: Fermi-level density of states 0.0000 states/eV/atom. Number 2: Fermi-level density of states 0.0000 states/eV/atom. Number 3: Fermi-level density of states 0.0276 states/eV/atom.